Below is a relaxed Ac2HoBi3 crystal, with properties calculated at the PBE level.

Structure (POSCAR):
```
Ac2HoBi3
1.0
4.1113 -7.1225 0.0000
4.1113 7.1225 0.0000
-2.7526 0.0000 7.7397
Ac Ho Bi
4 2 6
direct
0.0000 0.0000 0.0000
0.1623 0.8377 0.5000
0.5000 0.5000 0.5000
0.8377 0.1623 0.5000
0.3316 0.6684 0.0000
0.6684 0.3316 0.0000
0.0788 0.4252 0.2355
0.2705 0.2705 0.7698
0.4252 0.0788 0.2355
0.5748 0.9212 0.7645
0.7295 0.7295 0.2302
0.9212 0.5748 0.7645
```

Summary:
- Energy relative to the elements: -920 meV per atom
- Magnetization: 0.000 μB/atom